A plane-wave DFT calculation with PBE-GGA was carried out for a geometry-optimized TbPr2CrN4 structure.

Unit cell a=3.455 b=11.802 c=12.330 alpha=90.00 beta=90.00 gamma=90.00
Space group Cmcm (No. 63)
Unique sites:
Tb 0.000 0.118 0.250 (multiplicity 4)
Pr 0.000 0.367 0.042 (multiplicity 8)
Cr 0.000 0.163 0.750 (multiplicity 4)
N 0.000 0.000 0.000 (multiplicity 4)
N 0.000 0.275 0.642 (multiplicity 8)
N 0.000 0.416 0.250 (multiplicity 4)

Output
ΔE_f (raw), eV/f.u.: -7.7
VASP energy, eV for the cell shown: -259.3
DOS(E_F), states/eV/atom: 0.373